VASP calculation (GGA+U) on crystalline MnGeIrO6 at its relaxed geometry.

Final energy = -122.77 eV/cell
Size of the total moment = 5.99 μB/cell
V = 201.63 Å³ per cell

```
18
Lattice="-1.7658 1.8650 4.3761 -3.1407 -2.3859 -3.1922 1.8199 -7.8600 4.0841" Properties=species:S:1:pos:R:3 pbc="T T T"
Mn 0.0000 0.0000 0.0000
Mn 0.9100 -3.9300 2.0421
Ge -2.2274 -2.9339 0.3516
Ge -0.8591 -5.4470 4.9164
Ir -1.7691 -1.5170 2.8744
Ir -1.3174 -6.8639 2.3937
O -2.9182 -1.4043 1.2938
O -0.8894 -1.9044 -0.5727
O 0.5066 -4.3316 4.1449
O -2.1971 -6.4765 5.8408
O -1.0851 -3.0675 1.8949
O -1.3742 -4.4049 -0.5500
O 0.4179 -5.6077 6.3475
O -3.5932 -4.0493 1.1232
O -1.7124 -3.9760 5.8180
O -3.5044 -2.7732 -1.0795
O -2.0014 -5.3134 3.3731
O -0.1684 -6.9766 3.9743
```